--- A ---
This record from Alexandria via LeMat-Bulk describes Y2CoSnC after structural relaxation. The functional is PBE.

Computed properties:
- volume (Å³ per atom) = 28.953
- mass density (Mg/m³) = 4.22
- space group = P4/mmm (123)

a = 5.628 Å, b = 4.571 Å, c = 5.628 Å
α = 90.00°, β = 90.00°, γ = 90.00°
Each line ends with the local moment (μB).
Fractional positions:
Y 0.500 0.000 0.000  0.03
Y 0.000 0.000 0.500  -0.01
C 0.500 0.500 0.500  0.50
Co 0.000 0.500 0.000  1.57
Sn 0.000 0.000 0.000  0.02

--- B ---
This record from Alexandria via LeMat-Bulk describes Y2CoSnC after structural relaxation. The functional is PBE.

Computed properties:
- volume (Å³ per atom) = 19.408
- mass density (Mg/m³) = 6.29
- space group = P4/mmm (123)

a = 5.093 Å, b = 5.093 Å, c = 3.742 Å
α = 90.00°, β = 90.00°, γ = 90.00°
Each line ends with the local moment (μB).
Fractional positions:
Co 0.000 0.000 0.500  0.46
Y 0.500 0.000 0.000  0.00
Y 0.000 0.500 0.000  0.00
Sn 0.500 0.500 0.500  0.04
C 0.000 0.000 0.000  0.00

Each structure's energy above the most stable one, in eV/atom: A 1.962; B 0.000.

--- A ---
This record from Alexandria via LeMat-Bulk describes SrCoC after structural relaxation. The functional is PBE.

Computed properties:
- volume (Å³ per atom) = 15.304
- mass density (Mg/m³) = 5.73
- space group = P-6m2 (187)

a = 4.501 Å, b = 3.432 Å, c = 3.432 Å
α = 120.00°, β = 90.00°, γ = 90.00°
Fractional positions:
C 0.167 0.000 0.000
Co 0.167 0.333 0.667
Sr 0.667 0.667 0.333

--- B ---
This record from Alexandria via LeMat-Bulk describes SrCoC after structural relaxation. The functional is PBE.

Computed properties:
- volume (Å³ per atom) = 16.392
- mass density (Mg/m³) = 5.35
- space group = P2_1/c (14)

a = 6.320 Å, b = 5.641 Å, c = 6.426 Å
α = 120.85°, β = 90.00°, γ = 90.00°
Fractional positions:
Co 0.127 0.962 0.613
Co 0.373 0.962 0.113
Co 0.627 0.038 0.887
Co 0.873 0.038 0.387
Sr 0.457 0.349 0.667
Sr 0.957 0.651 0.833
Sr 0.543 0.651 0.333
Sr 0.043 0.349 0.167
C 0.663 0.048 0.185
C 0.837 0.048 0.685
C 0.337 0.952 0.815
C 0.163 0.952 0.315

Each structure's energy above the most stable one, in eV/atom: A 0.363; B 0.000.

--- A ---
This record from Alexandria via LeMat-Bulk describes TbCo2C after structural relaxation. The functional is PBE.

Computed properties:
- volume (Å³ per atom) = 13.208
- mass density (Mg/m³) = 9.08
- space group = R-3m (166)

a = 3.494 Å, b = 3.494 Å, c = 5.390 Å
α = 71.09°, β = 71.09°, γ = 60.00°
Fractional positions:
Tb 0.500 0.500 0.500
C 0.000 0.000 0.000
Co 0.701 0.701 0.897
Co 0.299 0.299 0.103

--- B ---
This record from Alexandria via LeMat-Bulk describes TbCo2C after structural relaxation. The functional is PBE.

Computed properties:
- volume (Å³ per atom) = 12.832
- mass density (Mg/m³) = 9.34
- space group = Cmcm (63)

a = 3.251 Å, b = 5.155 Å, c = 6.455 Å
α = 90.00°, β = 90.00°, γ = 108.38°
Each line ends with the local moment (μB).
Fractional positions:
Co 0.322 0.644 0.927  0.24
Co 0.322 0.644 0.573  0.24
Co 0.678 0.356 0.073  0.24
Co 0.678 0.356 0.427  0.24
Tb 0.949 0.898 0.250  -0.03
Tb 0.051 0.102 0.750  -0.03
C 0.779 0.558 0.750  -0.01
C 0.221 0.442 0.250  -0.01

Each structure's energy above the most stable one, in eV/atom: A 0.117; B 0.000.

--- A ---
This record from Alexandria via LeMat-Bulk describes TbCoC after structural relaxation. The functional is PBE.

Computed properties:
- volume (Å³ per atom) = 15.297
- mass density (Mg/m³) = 8.32
- space group = P4_2/mmc (131)

a = 3.622 Å, b = 3.622 Å, c = 6.998 Å
α = 90.00°, β = 90.00°, γ = 90.00°
Fractional positions:
Co 0.500 0.500 0.500
Co 0.500 0.500 0.000
Tb 0.000 0.000 0.250
Tb 0.000 0.000 0.750
C 0.000 0.500 0.000
C 0.500 0.000 0.500

--- B ---
This record from Alexandria via LeMat-Bulk describes TbCoC after structural relaxation. The functional is PBE.

Computed properties:
- volume (Å³ per atom) = 16.030
- mass density (Mg/m³) = 7.94
- space group = Imma (74)

a = 5.701 Å, b = 5.158 Å, c = 5.158 Å
α = 53.91°, β = 56.45°, γ = 56.45°
Fractional positions:
Co 0.711 0.490 0.732
Co 0.211 0.045 0.177
Tb 0.961 0.768 0.955
Tb 0.461 0.268 0.455
C 0.461 0.268 0.955
C 0.961 0.268 0.955

--- C ---
This record from Alexandria via LeMat-Bulk describes TbCoC after structural relaxation. The functional is PBE.

Computed properties:
- volume (Å³ per atom) = 13.644
- mass density (Mg/m³) = 9.33
- space group = P-6m2 (187)

a = 3.964 Å, b = 3.453 Å, c = 3.453 Å
α = 120.00°, β = 90.00°, γ = 90.00°
Fractional positions:
Tb 0.667 0.667 0.333
Co 0.167 0.333 0.667
C 0.167 0.000 0.000

Each structure's energy above the most stable one, in eV/atom: A 0.000; B 0.198; C 0.226.